## ThGaCo2C (GGA-PBE)

Data for a relaxed structure of ThGaCo2C.

## Properties
E	-71.4	eV per cell
crystal system	orthorhombic
DOS at the Fermi energy	6.65	states/eV/cell

The structure in POSCAR format:
```
ThGaCo2C
1.0
1.979 -5.454 0.000
1.979 5.454 0.000
0.000 0.000 6.886
Th Ga Co C
2 2 4 2
Cartesian
1.979 4.768 5.164
1.979 -4.768 1.721
1.979 3.051 1.721
1.979 -3.051 5.164
1.979 1.729 3.832
1.979 1.729 6.497
1.979 -1.729 0.389
1.979 -1.729 3.054
1.979 0.000 0.000
1.979 0.000 3.443
```